Entry 1:
! MnAl2P2H18O18, single point on PBEsol structure, DFT meta-GGA SCAN; values from VASP
! final energy: -7.2533 eV per atom
! crystal system: triclinic
! space group: P-1
&SYSTEM
  ibrav = 0, nat = 82, ntyp = 5
/
ATOMIC_SPECIES
Mn 54.94 Mn.upf
Al 26.98 Al.upf
P 30.97 P.upf
H 1.01 H.upf
O 16.00 O.upf
CELL_PARAMETERS angstrom
6.9968 0.0000 0.0000
3.4541 9.4713 0.0000
0.0072 3.1936 9.8246
ATOMIC_POSITIONS crystal
Mn 0.1187 0.2278 0.0178
Mn 0.8813 0.7722 0.9822
Al 0.0000 0.0000 0.5000
Al 0.2391 0.2497 0.5024
Al 0.5000 0.5000 0.5000
Al 0.7609 0.7503 0.4976
P 0.0691 0.5921 0.3166
P 0.3686 0.0350 0.3259
P 0.6314 0.9650 0.6741
P 0.9309 0.4079 0.6834
H 0.0427 0.3549 0.2256
H 0.0877 0.7675 0.4581
H 0.1285 0.9686 0.9081
H 0.1362 0.5340 0.8931
H 0.1531 0.8612 0.7605
H 0.2031 0.5494 0.6467
H 0.2161 0.1658 0.7891
H 0.2170 0.8182 0.0237
H 0.2771 0.9554 0.6640
H 0.3099 0.4892 0.1660
H 0.3402 0.7238 0.2398
H 0.3606 0.8821 0.1643
H 0.3860 0.3683 0.0410
H 0.4030 0.0264 0.8804
H 0.4034 0.5658 0.7188
H 0.4133 0.3164 0.2461
H 0.4194 0.7621 0.4723
H 0.4252 0.3126 0.9056
H 0.5748 0.6874 0.0944
H 0.5806 0.2379 0.5277
H 0.5867 0.6836 0.7539
H 0.5966 0.4342 0.2812
H 0.5970 0.9736 0.1196
H 0.6140 0.6317 0.9590
H 0.6394 0.1179 0.8357
H 0.6598 0.2762 0.7602
H 0.6901 0.5108 0.8340
H 0.7229 0.0446 0.3360
H 0.7830 0.1818 0.9763
H 0.7839 0.8342 0.2109
H 0.7969 0.4506 0.3533
H 0.8469 0.1388 0.2395
H 0.8638 0.4660 0.1069
H 0.8715 0.0314 0.0919
H 0.9123 0.2325 0.5419
H 0.9573 0.6451 0.7744
O 0.0252 0.1773 0.4993
O 0.0337 0.6380 0.8579
O 0.0671 0.4334 0.3807
O 0.0855 0.6238 0.1631
O 0.1168 0.8676 0.9374
O 0.1351 0.2985 0.6608
O 0.1884 0.8938 0.6663
O 0.2310 0.9555 0.4033
O 0.2508 0.6151 0.3832
O 0.2576 0.0876 0.8837
O 0.3154 0.3580 0.9602
O 0.3225 0.1899 0.3435
O 0.3440 0.0515 0.1719
O 0.3543 0.5212 0.6555
O 0.3738 0.7832 0.1536
O 0.4051 0.0611 0.6203
O 0.4413 0.4010 0.1789
O 0.4507 0.3242 0.5088
O 0.5493 0.6758 0.4912
O 0.5587 0.5990 0.8211
O 0.5949 0.9389 0.3797
O 0.6262 0.2168 0.8464
O 0.6457 0.4788 0.3445
O 0.6560 0.9485 0.8281
O 0.6775 0.8101 0.6565
O 0.6846 0.6420 0.0398
O 0.7424 0.9124 0.1163
O 0.7492 0.3849 0.6168
O 0.7690 0.0445 0.5967
O 0.8116 0.1062 0.3337
O 0.8649 0.7015 0.3392
O 0.8832 0.1324 0.0626
O 0.9145 0.3762 0.8369
O 0.9329 0.5666 0.6193
O 0.9663 0.3620 0.1421
O 0.9748 0.8227 0.5007



Entry 2:
! P2OsPt, single point on PBEsol structure, DFT meta-GGA SCAN; values from VASP
! relative energy among the computed polymorphs: 0.00 eV/f.u.
! E_form: 0.502 eV/atom
! crystal system: orthorhombic
! space group: Cmmm
&SYSTEM
  ibrav = 0, nat = 4, ntyp = 3
/
ATOMIC_SPECIES
P 30.97 P.upf
Os 190.23 Os.upf
Pt 195.08 Pt.upf
CELL_PARAMETERS angstrom
1.3960 -2.4572 0.0000
1.3960 2.4572 0.0000
0.0000 0.0000 8.2888
ATOMIC_POSITIONS crystal
P 0.0000 0.0000 0.2374
P 0.0000 0.0000 0.7626
Os 0.5000 0.5000 0.0000
Pt 0.5000 0.5000 0.5000



Entry 3:
! HgWSe, single point on PBEsol structure, DFT meta-GGA SCAN; values from VASP
! ΔE_f (raw): 1797 meV per atom
! crystal system: cubic
! space group: F-43m
&SYSTEM
  ibrav = 0, nat = 3, ntyp = 3
/
ATOMIC_SPECIES
Hg 200.59 Hg.upf
W 183.84 W.upf
Se 78.96 Se.upf
CELL_PARAMETERS angstrom
0.0000 3.2666 3.2666
3.2666 0.0000 3.2666
3.2666 3.2666 0.0000
ATOMIC_POSITIONS crystal
Hg 0.0000 0.0000 0.0000
W 0.2500 0.2500 0.2500
Se 0.7500 0.7500 0.7500



Entry 4:
! Al2S3, single point on PBEsol structure, DFT meta-GGA SCAN; values from VASP
! ΔE_f (raw): -1244 meV per atom
! crystal system: hexagonal
! space group: P6_1
&SYSTEM
  ibrav = 0, nat = 30, ntyp = 2
/
ATOMIC_SPECIES
Al 26.98 Al.upf
S 32.06 S.upf
CELL_PARAMETERS angstrom
6.6101 0.0000 0.0000
-3.3051 5.7246 0.0000
0.0000 0.0000 17.2814
ATOMIC_POSITIONS crystal
Al 0.0058 0.6993 0.0000
Al 0.0093 0.6581 0.6344
Al 0.3007 0.3064 0.3333
Al 0.3064 0.0058 0.1667
Al 0.3419 0.3512 0.9677
Al 0.3512 0.0093 0.8010
Al 0.6488 0.9907 0.3010
Al 0.6581 0.6488 0.4677
Al 0.6936 0.9942 0.6667
Al 0.6993 0.6936 0.8333
Al 0.9907 0.3419 0.1344
Al 0.9942 0.3007 0.5000
S 0.0033 0.3429 0.0022
S 0.0409 0.3345 0.6430
S 0.0454 0.6990 0.8557
S 0.2936 0.9591 0.3096
S 0.3010 0.3464 0.1890
S 0.3345 0.2936 0.4763
S 0.3396 0.9967 0.6689
S 0.3429 0.3396 0.8356
S 0.3464 0.0454 0.0223
S 0.6536 0.9546 0.5223
S 0.6571 0.6604 0.3356
S 0.6604 0.0033 0.1689
S 0.6655 0.7064 0.9763
S 0.6990 0.6536 0.6890
S 0.7064 0.0409 0.8096
S 0.9546 0.3010 0.3557
S 0.9591 0.6655 0.1430
S 0.9967 0.6571 0.5022



Entry 5:
! Mn2BePt, single point on PBEsol structure, DFT meta-GGA SCAN; values from VASP
! E_form: -0.170 eV/atom
! crystal system: orthorhombic
! space group: Pmmm
&SYSTEM
  ibrav = 0, nat = 4, ntyp = 3
/
ATOMIC_SPECIES
Mn 54.94 Mn.upf
Be 9.01 Be.upf
Pt 195.08 Pt.upf
CELL_PARAMETERS angstrom
2.5836 0.0000 0.0000
0.0000 3.7028 0.0000
0.0000 0.0000 4.6675
ATOMIC_POSITIONS crystal
Mn 0.0000 0.0000 0.2115
Mn 0.0000 0.0000 0.7885
Be 0.5000 0.5000 0.0000
Pt 0.5000 0.5000 0.5000



Entry 6:
! HfSb2Ru, single point on PBEsol structure, DFT meta-GGA SCAN; values from VASP
! ΔE_f (raw): 142 meV per atom
! crystal system: tetragonal
! space group: I-42d
&SYSTEM
  ibrav = 0, nat = 8, ntyp = 3
/
ATOMIC_SPECIES
Hf 178.49 Hf.upf
Sb 121.76 Sb.upf
Ru 101.07 Ru.upf
CELL_PARAMETERS angstrom
-2.1205 2.1205 9.4637
2.1205 -2.1205 9.4637
2.1205 2.1205 -9.4637
ATOMIC_POSITIONS crystal
Hf 0.0000 0.0000 0.0000
Hf 0.7500 0.2500 0.5000
Sb 0.1449 0.6250 0.0199
Sb 0.3750 0.3949 0.5199
Sb 0.6051 0.1250 0.9801
Sb 0.8750 0.8551 0.4801
Ru 0.2500 0.7500 0.5000
Ru 0.5000 0.5000 0.0000



Entry 7:
! TcSeF2, single point on PBEsol structure, DFT meta-GGA SCAN; values from VASP
! ΔE_f (raw): -854 meV per atom
! crystal system: tetragonal
! space group: I-42d
&SYSTEM
  ibrav = 0, nat = 8, ntyp = 3
/
ATOMIC_SPECIES
Tc 98.00 Tc.upf
Se 78.96 Se.upf
F 19.00 F.upf
CELL_PARAMETERS angstrom
-3.7063 3.7063 2.3319
3.7063 -3.7063 2.3319
3.7063 3.7063 -2.3319
ATOMIC_POSITIONS crystal
Tc 0.0000 0.0000 0.0000
Tc 0.7500 0.2500 0.5000
Se 0.2500 0.7500 0.5000
Se 0.5000 0.5000 0.0000
F 0.3750 0.0174 0.1424
F 0.7674 0.6250 0.6424
F 0.8750 0.2326 0.8576
F 0.9826 0.1250 0.3576



Entry 8:
! CrSiPt2, single point on PBEsol structure, DFT meta-GGA SCAN; values from VASP
! ΔE_f (raw): -466 meV per atom
! crystal system: monoclinic
! space group: Cm
&SYSTEM
  ibrav = 0, nat = 4, ntyp = 3
/
ATOMIC_SPECIES
Cr 52.00 Cr.upf
Si 28.09 Si.upf
Pt 195.08 Pt.upf
CELL_PARAMETERS angstrom
4.4543 -1.6935 0.0000
4.4543 1.6935 0.0000
-1.7971 0.0000 3.6997
ATOMIC_POSITIONS crystal
Cr 0.0000 0.0000 0.0000
Si 0.2681 0.2681 0.7264
Pt 0.5526 0.5526 0.5570
Pt 0.7781 0.7781 0.2691



Please write out number 3 again, unchanged.
! HgWSe, single point on PBEsol structure, DFT meta-GGA SCAN; values from VASP
! ΔE_f (raw): 1797 meV per atom
! crystal system: cubic
! space group: F-43m
&SYSTEM
  ibrav = 0, nat = 3, ntyp = 3
/
ATOMIC_SPECIES
Hg 200.59 Hg.upf
W 183.84 W.upf
Se 78.96 Se.upf
CELL_PARAMETERS angstrom
0.0000 3.2666 3.2666
3.2666 0.0000 3.2666
3.2666 3.2666 0.0000
ATOMIC_POSITIONS crystal
Hg 0.0000 0.0000 0.0000
W 0.2500 0.2500 0.2500
Se 0.7500 0.7500 0.7500